(1)
# GGA-PBE Tl2GaPb, optimized geometry
data_Tl2GaPb
_cell_length_a 10.7329
_cell_length_b 3.4990
_cell_length_c 6.0453
_cell_angle_alpha 90.00
_cell_angle_beta 90.00
_cell_angle_gamma 90.00
_space_group_name_H-M_alt 'P 1'
_space_group_IT_number 1
_space_group_name_Hall 'P 1'
loop_
_atom_site_label
_atom_site_fract_x
_atom_site_fract_y
_atom_site_fract_z
Tl1 0.2289 0.0000 0.0000
Tl2 0.2289 0.5000 0.5000
Tl3 0.7711 0.0000 0.0000
Tl4 0.7711 0.5000 0.5000
Ga1 0.0000 0.0000 0.6651
Ga2 0.0000 0.5000 0.1651
Pb1 0.5000 0.0000 0.3339
Pb2 0.5000 0.5000 0.8339
# ΔE to the lowest computed polymorph	0.002	eV/atom
# total magnetization	0.000	μB per formula unit
# Fermi-level density of states	0.436	states/eV per atom
# crystal system	orthorhombic
# density	10.031	g cm⁻³

***

(2)
# GGA-PBE Tl5Ga2Pb12, optimized geometry
data_Tl5Ga2Pb12
_cell_length_a 10.0730
_cell_length_b 10.0730
_cell_length_c 6.2003
_cell_angle_alpha 98.80
_cell_angle_beta 98.80
_cell_angle_gamma 70.82
_space_group_name_H-M_alt 'P 1'
_space_group_IT_number 1
_space_group_name_Hall 'P 1'
loop_
_atom_site_label
_atom_site_fract_x
_atom_site_fract_y
_atom_site_fract_z
Tl1 0.0000 0.0000 0.0000
Tl2 0.2176 0.2176 0.0635
Tl3 0.3254 0.3254 0.6308
Tl4 0.6746 0.6746 0.3692
Tl5 0.7824 0.7824 0.9365
Ga1 0.2571 0.7429 0.5000
Ga2 0.7429 0.2571 0.5000
Pb1 0.0652 0.5604 0.3034
Pb2 0.1014 0.1014 0.5151
Pb3 0.1543 0.6468 0.8697
Pb4 0.3532 0.8457 0.1303
Pb5 0.4396 0.9348 0.6966
Pb6 0.4452 0.4452 0.2190
Pb7 0.5548 0.5548 0.7810
Pb8 0.5604 0.0652 0.3034
Pb9 0.6468 0.1543 0.8697
Pb10 0.8457 0.3532 0.1303
Pb11 0.8986 0.8986 0.4849
Pb12 0.9348 0.4396 0.6966
# total magnetization	0.000	μB per formula unit
# Fermi-level density of states	0.423	states/eV per atom
# crystal system	monoclinic
# density	10.379	g cm⁻³
# total energy	-3.238	eV/atom

***

(3)
# GGA-PBE Tl2GaPb2, optimized geometry
data_Tl2GaPb2
_cell_length_a 7.8838
_cell_length_b 7.8838
_cell_length_c 5.0484
_cell_angle_alpha 90.00
_cell_angle_beta 90.00
_cell_angle_gamma 90.00
_space_group_name_H-M_alt 'P 1'
_space_group_IT_number 1
_space_group_name_Hall 'P 1'
loop_
_atom_site_label
_atom_site_fract_x
_atom_site_fract_y
_atom_site_fract_z
Tl1 0.1615 0.3385 0.0000
Tl2 0.3385 0.8385 0.0000
Tl3 0.6615 0.1615 0.0000
Tl4 0.8385 0.6615 0.0000
Ga1 0.0000 0.0000 0.5000
Ga2 0.5000 0.5000 0.5000
Pb1 0.1466 0.6466 0.5000
Pb2 0.3534 0.1466 0.5000
Pb3 0.6466 0.8534 0.5000
Pb4 0.8534 0.3534 0.5000
# ΔE to the lowest computed polymorph	0.096	eV/atom
# total magnetization	0.000	μB per formula unit
# Fermi-level density of states	0.748	states/eV per atom
# crystal system	tetragonal
# density	9.451	g cm⁻³

***

(4)
# GGA-PBE YTl2GaPb, optimized geometry
data_YTl2GaPb
_cell_length_a 5.2757
_cell_length_b 5.2757
_cell_length_c 5.6584
_cell_angle_alpha 90.00
_cell_angle_beta 90.00
_cell_angle_gamma 90.00
_space_group_name_H-M_alt 'P 1'
_space_group_IT_number 1
_space_group_name_Hall 'P 1'
loop_
_atom_site_label
_atom_site_fract_x
_atom_site_fract_y
_atom_site_fract_z
Y1 0.0000 0.0000 0.0000
Tl1 0.0000 0.5000 0.5000
Tl2 0.5000 0.0000 0.5000
Ga1 0.0000 0.0000 0.5000
Pb1 0.5000 0.5000 0.0000
# total magnetization	0.000	μB per formula unit
# Fermi-level density of states	0.620	states/eV per atom
# crystal system	tetragonal
# density	8.167	g cm⁻³
# total energy	-3.442	eV/atom

***

(5)
# GGA-PBE Tm5GaPb2, optimized geometry
data_Tm5GaPb2
_cell_length_a 7.8496
_cell_length_b 12.0549
_cell_length_c 4.6624
_cell_angle_alpha 90.00
_cell_angle_beta 90.00
_cell_angle_gamma 90.00
_space_group_name_H-M_alt 'P 1'
_space_group_IT_number 1
_space_group_name_Hall 'P 1'
loop_
_atom_site_label
_atom_site_fract_x
_atom_site_fract_y
_atom_site_fract_z
Tm1 0.0000 0.0000 0.0000
Tm2 0.1544 0.2832 0.0000
Tm3 0.1880 0.5677 0.5000
Tm4 0.3120 0.0677 0.5000
Tm5 0.3456 0.7832 0.0000
Tm6 0.5000 0.5000 0.0000
Tm7 0.6544 0.2168 0.0000
Tm8 0.6880 0.9323 0.5000
Tm9 0.8120 0.4323 0.5000
Tm10 0.8456 0.7168 0.0000
Ga1 0.0000 0.5000 0.0000
Ga2 0.5000 0.0000 0.0000
Pb1 0.0738 0.8286 0.5000
Pb2 0.4262 0.3286 0.5000
Pb3 0.5738 0.6714 0.5000
Pb4 0.9262 0.1714 0.5000
# ΔE to the lowest computed polymorph	0.000	eV/atom
# total magnetization	0.000	μB per formula unit
# Fermi-level density of states	0.738	states/eV per atom
# crystal system	orthorhombic
# density	10.003	g cm⁻³

***

(6)
# GGA-PBE Tm3GaPb, optimized geometry
data_Tm3GaPb
_cell_length_a 7.3347
_cell_length_b 7.3347
_cell_length_c 7.9199
_cell_angle_alpha 117.67
_cell_angle_beta 117.67
_cell_angle_gamma 59.97
_space_group_name_H-M_alt 'P 1'
_space_group_IT_number 1
_space_group_name_Hall 'P 1'
loop_
_atom_site_label
_atom_site_fract_x
_atom_site_fract_y
_atom_site_fract_z
Tm1 0.0000 0.0000 0.0000
Tm2 0.3153 0.7960 0.4521
Tm3 0.4542 0.9993 0.9989
Tm4 0.7960 0.3153 0.4521
Tm5 0.7966 0.7966 0.4529
Tm6 0.9993 0.4542 0.9989
Ga1 0.7358 0.7358 0.7521
Ga2 0.8857 0.8857 0.2026
Pb1 0.2834 0.2834 0.3941
Pb2 0.5064 0.5064 0.0641
# total magnetization	0.000	μB per formula unit
# Fermi-level density of states	0.653	states/eV per atom
# crystal system	monoclinic
# density	8.359	g cm⁻³
# total energy	-4.094	eV/atom

***

(7)
# GGA-PBE Tm3GaPb2, optimized geometry
data_Tm3GaPb2
_cell_length_a 8.6935
_cell_length_b 8.6935
_cell_length_c 6.3390
_cell_angle_alpha 100.32
_cell_angle_beta 100.32
_cell_angle_gamma 41.91
_space_group_name_H-M_alt 'P 1'
_space_group_IT_number 1
_space_group_name_Hall 'P 1'
loop_
_atom_site_label
_atom_site_fract_x
_atom_site_fract_y
_atom_site_fract_z
Tm1 0.1292 0.8708 0.7500
Tm2 0.2287 0.4507 0.4103
Tm3 0.4507 0.2287 0.9103
Tm4 0.5493 0.7713 0.0897
Tm5 0.7713 0.5493 0.5897
Tm6 0.8708 0.1292 0.2500
Ga1 0.3830 0.6170 0.2500
Ga2 0.6170 0.3830 0.7500
Pb1 0.0565 0.2760 0.0693
Pb2 0.2760 0.0565 0.5693
Pb3 0.7240 0.9435 0.4307
Pb4 0.9435 0.7240 0.9307
# ΔE to the lowest computed polymorph	0.010	eV/atom
# total magnetization	0.000	μB per formula unit
# Fermi-level density of states	0.776	states/eV per atom
# crystal system	monoclinic
# density	10.479	g cm⁻³

***

(8)
# GGA-PBE Tm4GaPb, optimized geometry
data_Tm4GaPb
_cell_length_a 9.7580
_cell_length_b 9.7580
_cell_length_c 9.7580
_cell_angle_alpha 60.00
_cell_angle_beta 60.00
_cell_angle_gamma 60.00
_space_group_name_H-M_alt 'P 1'
_space_group_IT_number 1
_space_group_name_Hall 'P 1'
loop_
_atom_site_label
_atom_site_fract_x
_atom_site_fract_y
_atom_site_fract_z
Tm1 0.1890 0.1890 0.8110
Tm2 0.1890 0.8110 0.1890
Tm3 0.1890 0.8110 0.8110
Tm4 0.3605 0.3605 0.3605
Tm5 0.3605 0.3605 0.9186
Tm6 0.3605 0.9186 0.3605
Tm7 0.5593 0.5593 0.9407
Tm8 0.5593 0.9407 0.5593
Tm9 0.5593 0.9407 0.9407
Tm10 0.8110 0.1890 0.1890
Tm11 0.8110 0.1890 0.8110
Tm12 0.8110 0.8110 0.1890
Tm13 0.9186 0.3605 0.3605
Tm14 0.9407 0.5593 0.5593
Tm15 0.9407 0.5593 0.9407
Tm16 0.9407 0.9407 0.5593
Ga1 0.1449 0.1449 0.1449
Ga2 0.1449 0.1449 0.5652
Ga3 0.1449 0.5652 0.1449
Ga4 0.5652 0.1449 0.1449
Pb1 0.2199 0.5934 0.5934
Pb2 0.5934 0.2199 0.5934
Pb3 0.5934 0.5934 0.2199
Pb4 0.5934 0.5934 0.5934
# total magnetization	0.000	μB per formula unit
# Fermi-level density of states	1.096	states/eV per atom
# crystal system	cubic
# density	9.631	g cm⁻³
# total energy	-4.465	eV/atom